Record 1
Below is an optimized crystal structure of MgSc5, with properties calculated at the PBE level.

## Properties
spin magnetization = 0.000 μB/cell
space group = No. 12
total DFT energy (no corrections) = -5.500 eV per atom
offset from the most stable computed form = 0.231 eV per formula unit

Cell lengths 5.0090, 6.0219, 6.2861 Å; angles 60.20, 90.00, 114.58 degrees
Fractional positions:
1 Sc 0.0072 0.0143 0.7250
2 Sc 0.3466 0.6932 0.5784
3 Sc 0.6944 0.3888 0.3891
4 Sc 0.0422 0.0845 0.1991
5 Sc 0.3818 0.7635 0.0527
6 Mg 0.6945 0.3890 0.8890



Record 2
Below is an optimized crystal structure of Tc2OsW, with properties calculated at the PBE level.

## Properties
spin magnetization = 0.000 μB/cell
space group = No. 10
total DFT energy (no corrections) = -11.126 eV per atom
offset from the most stable computed form = 0.170 eV per formula unit

Cell lengths 3.8792, 2.7820, 6.2135 Å; angles 63.30, 90.00, 90.00 degrees
Fractional positions:
1 Tc 0.0000 0.4910 0.5090
2 Tc 0.0000 0.0090 0.9910
3 W 0.5000 0.2500 0.2500
4 Os 0.5000 0.7500 0.7500



Record 3
Below is an optimized crystal structure of Mg2ZnTe, with properties calculated at the PBE level.

## Properties
spin magnetization = 0.000 μB/cell
space group = No. 47
total DFT energy (no corrections) = -2.067 eV per atom
offset from the most stable computed form = 0.313 eV per formula unit

Cell lengths 4.3887, 5.3359, 3.9575 Å; angles 90.00, 90.00, 90.00 degrees
Fractional positions:
1 Mg 0.5000 0.5000 0.0000
2 Mg 0.0000 0.0000 0.0000
3 Te 0.5000 0.0000 0.5000
4 Zn 0.0000 0.5000 0.5000



Record 4
Below is an optimized crystal structure of Eu2PbS, with properties calculated at the PBE level.

## Properties
spin magnetization = 14.033 μB/cell
space group = No. 166
total DFT energy (no corrections) = -8.351 eV per atom
offset from the most stable computed form = 0.000 eV per formula unit

Cell lengths 4.0766, 4.0766, 8.7222 Å; angles 76.49, 76.49, 60.00 degrees
Last column: magnetic moment on the atom in μB.
Fractional positions:
1 Eu 0.2655 0.2655 0.2034  6.83
2 Eu 0.7345 0.7345 0.7966  6.83
3 Pb 0.5000 0.5000 0.5000  -0.03
4 S 0.0000 0.0000 0.0000  -0.08



Record 5
Below is an optimized crystal structure of Li3TiSi, with properties calculated at the PBE level.

## Properties
spin magnetization = 0.000 μB/cell
space group = No. 221
total DFT energy (no corrections) = -3.240 eV per atom
offset from the most stable computed form = 0.000 eV per formula unit

Cell lengths 4.4654, 4.4654, 4.4654 Å; angles 90.00, 90.00, 90.00 degrees
Fractional positions:
1 Li 0.5000 0.0000 0.0000
2 Li 0.0000 0.5000 0.0000
3 Li 0.0000 0.0000 0.5000
4 Ti 0.5000 0.5000 0.5000
5 Si 0.0000 0.0000 0.0000



Record 6
Below is an optimized crystal structure of Ta2Nb2Pt, with properties calculated at the PBE level.

## Properties
spin magnetization = 0.000 μB/cell
space group = No. 15
total DFT energy (no corrections) = -9.953 eV per atom
offset from the most stable computed form = 0.000 eV per formula unit

Cell lengths 7.0576, 4.4382, 7.4423 Å; angles 72.77, 118.30, 90.00 degrees
Fractional positions:
1 Pt 0.3641 0.2500 0.0000
2 Pt 0.6359 0.7500 0.0000
3 Ta 0.5184 0.5956 0.3103
4 Ta 0.4816 0.4044 0.6897
5 Ta 0.2081 0.9044 0.6897
6 Ta 0.7919 0.0956 0.3103
7 Nb 0.9513 0.4126 0.6759
8 Nb 0.0487 0.5874 0.3241
9 Nb 0.7247 0.9126 0.6759
10 Nb 0.2753 0.0874 0.3241



Record 7
Below is an optimized crystal structure of LaNi2Pt2, with properties calculated at the PBE level.

## Properties
spin magnetization = 0.269 μB/cell
space group = No. 139
total DFT energy (no corrections) = -6.230 eV per atom
offset from the most stable computed form = 0.000 eV per formula unit

Cell lengths 4.2638, 4.2638, 10.4276 Å; angles 101.80, 101.80, 90.00 degrees
Last column: magnetic moment on the atom in μB.
Fractional positions:
1 Pt 0.5000 0.0000 0.0000  0.01
2 Pt 0.0000 0.5000 0.0000  0.01
3 Pt 0.1849 0.1849 0.3698  0.03
4 Pt 0.8151 0.8151 0.6302  0.03
5 Ni 0.2500 0.7500 0.5000  0.10
6 Ni 0.7500 0.2500 0.5000  0.10
7 Ni 0.9347 0.9347 0.8694  0.02
8 Ni 0.0653 0.0653 0.1306  0.02
9 La 0.3780 0.3780 0.7561  0.00
10 La 0.6220 0.6220 0.2439  0.00



Record 8
Below is an optimized crystal structure of YSN2F, with properties calculated at the PBE level.

## Properties
spin magnetization = 0.000 μB/cell
space group = No. 123
total DFT energy (no corrections) = -5.410 eV per atom
offset from the most stable computed form = 2.891 eV per formula unit

Cell lengths 4.5726, 4.5726, 4.1823 Å; angles 90.00, 90.00, 90.00 degrees
Fractional positions:
1 N 0.5000 0.0000 0.0000
2 N 0.0000 0.5000 0.0000
3 Y 0.0000 0.0000 0.0000
4 F 0.0000 0.0000 0.5000
5 S 0.5000 0.5000 0.5000



total DFT energy (no corrections) of number 8 (YSN2F)?
-5.410 eV per atom



Please write out number 1 again, unchanged.
Below is an optimized crystal structure of MgSc5, with properties calculated at the PBE level.

## Properties
spin magnetization = 0.000 μB/cell
space group = No. 12
total DFT energy (no corrections) = -5.500 eV per atom
offset from the most stable computed form = 0.231 eV per formula unit

Cell lengths 5.0090, 6.0219, 6.2861 Å; angles 60.20, 90.00, 114.58 degrees
Fractional positions:
1 Sc 0.0072 0.0143 0.7250
2 Sc 0.3466 0.6932 0.5784
3 Sc 0.6944 0.3888 0.3891
4 Sc 0.0422 0.0845 0.1991
5 Sc 0.3818 0.7635 0.0527
6 Mg 0.6945 0.3890 0.8890